Cs12Rb6Ge GGA-PBE optimized geometry; energy relative to the elements = 0.0205 eV/atom; crystal system = trigonal; volume = 99.236 Å³/atom; space-group type = No. 166; total DFT energy (no corrections) = -0.0784 Ry per atom
1.0
-12.088 0.542 -3.525
-5.465 -7.971 8.090
-4.890 7.862 8.551
Cs Rb Ge
12 6 1
Direct
0.302 0.303 0.643 Cs
0.303 0.643 0.302 Cs
0.643 0.302 0.303 Cs
0.698 0.697 0.357 Cs
0.697 0.357 0.698 Cs
0.357 0.698 0.697 Cs
0.023 0.022 0.704 Cs
0.296 0.977 0.978 Cs
0.978 0.296 0.977 Cs
0.977 0.978 0.296 Cs
0.704 0.023 0.022 Cs
0.022 0.704 0.023 Cs
0.036 0.363 0.363 Rb
0.637 0.637 0.964 Rb
0.637 0.964 0.637 Rb
0.964 0.637 0.637 Rb
0.363 0.363 0.036 Rb
0.363 0.036 0.363 Rb
0.000 0.000 0.000 Ge